1.
{"formula": "CaScTe2I", "functional": "PBE-GGA", "state": "relaxed", "e_tot_ry_per_atom": -0.3059, "e_form_raw_ev_per_atom": -0.929, "space_group": "P4/mmm", "n_ef_per_ev_cell": 0.38, "polymorph_energy_mev_per_atom": 0.0, "lattice_angstrom": [[5.6660, 0.0000, 0.0000], [0.0000, 5.6660, 0.0000], [0.0000, 0.0000, 5.5688]], "species": ["I", "Sc", "Ca", "Te", "Te"], "frac_coords": [[0.0000, 0.0000, 0.5000], [0.0000, 0.0000, 0.0000], [0.5000, 0.5000, 0.5000], [0.0000, 0.5000, 0.0000], [0.5000, 0.0000, 0.0000]]}

=====

2.
{"formula": "Ca2ScTiI", "functional": "PBE-GGA", "state": "relaxed", "e_tot_ry_per_atom": -0.2500, "e_form_raw_ev_per_atom": 0.554, "space_group": "P4/mmm", "n_ef_per_ev_cell": 7.66, "lattice_angstrom": [[-3.7927, -2.6923, 3.3987], [-0.2837, -4.0654, -3.5370], [4.3253, -2.6647, 2.7158]], "species": ["I", "Sc", "Ca", "Ca", "Ti"], "frac_coords": [[0.0000, 0.0000, 0.0000], [0.0000, 0.5000, 0.0000], [0.0000, 0.0000, 0.5000], [0.5000, 0.0000, 0.0000], [0.5000, 0.5000, 0.5000]]}

=====

3.
{"formula": "Ca3SeI", "functional": "PBE-GGA", "state": "relaxed", "e_tot_ry_per_atom": -0.2173, "e_form_raw_ev_per_atom": -0.749, "space_group": "Pm-3m", "n_ef_per_ev_cell": 7.73, "polymorph_energy_mev_per_atom": 0.0, "lattice_angstrom": [[-1.2450, 5.1035, -2.1907], [-4.6422, 0.2762, 3.2816], [3.0488, 2.5046, 4.1020]], "species": ["I", "Ca", "Ca", "Ca", "Se"], "frac_coords": [[0.5000, 0.5000, 0.5000], [0.0000, 0.5000, 0.0000], [0.0000, 0.0000, 0.5000], [0.5000, 0.0000, 0.0000], [0.0000, 0.0000, 0.0000]]}

=====

4.
{"formula": "Ca3Se2I", "functional": "PBE-GGA", "state": "relaxed", "e_tot_ry_per_atom": -0.2906, "e_form_raw_ev_per_atom": -1.533, "space_group": "Cmcm", "n_ef_per_ev_cell": 1.88, "lattice_angstrom": [[4.3280, 0.0000, 0.0000], [-2.1640, 7.9485, 0.0000], [0.0000, 0.0000, 12.0349]], "species": ["Ca", "Ca", "Ca", "Ca", "Ca", "Ca", "Se", "Se", "Se", "Se", "I", "I"], "frac_coords": [[0.6292, 0.2583, 0.0185], [0.9970, 0.9939, 0.7500], [0.6292, 0.2583, 0.4815], [0.0030, 0.0061, 0.2500], [0.3708, 0.7417, 0.9815], [0.3708, 0.7417, 0.5185], [0.0000, 0.0000, 0.0000], [0.0000, 0.0000, 0.5000], [0.6211, 0.2422, 0.2500], [0.3789, 0.7578, 0.7500], [0.3503, 0.7006, 0.2500], [0.6497, 0.2994, 0.7500]]}